A plane-wave DFT calculation with GGA-PBE was carried out for an optimized crystal structure of BaIn.

```
BaIn
1.0
0.0000 5.6981 6.9290
4.3992 0.0000 6.9290
4.3992 5.6981 0.0000
Ba In
4 4
direct
0.0721 0.6779 0.0721
0.3221 0.9279 0.3221
0.6779 0.0721 0.6779
0.9279 0.3221 0.9279
0.2126 0.5374 0.5374
0.4626 0.7874 0.7874
0.5374 0.2126 0.2126
0.7874 0.4626 0.4626
```

Calculated values
* ΔH_f (0 K): -0.2889 eV per atom
* spin magnetization: 0.00 μB/f.u.
* calculated total energy: -2.62 eV per atom



A plane-wave DFT calculation with GGA-PBE was carried out for an optimized crystal structure of LaPmScHg.

```
LaPmScHg
1.0
0.0000 3.8229 3.8229
3.8229 0.0000 3.8229
3.8229 3.8229 0.0000
La Pm Sc Hg
1 1 1 1
direct
0.0000 0.0000 0.0000
0.7500 0.7500 0.7500
0.5000 0.5000 0.5000
0.2500 0.2500 0.2500
```

Calculated values
* ΔH_f (0 K): -0.0419 eV per atom
* spin magnetization: 2.79 μB/f.u.
* calculated total energy: -4.12 eV per atom



A plane-wave DFT calculation with GGA-PBE was carried out for an optimized crystal structure of Cd2IrSe.

```
Cd2IrSe
1.0
3.1074 0.0000 0.0000
0.0000 3.1074 0.0000
0.0000 0.0000 8.5082
Cd Ir Se
2 1 1
direct
0.0000 0.0000 0.0000
0.5000 0.5000 0.2723
0.0000 0.0000 0.5143
0.5000 0.5000 0.6685
```

Calculated values
* spin magnetization: 0.00 μB/f.u.
* calculated total energy: -3.40 eV per atom
* uncorrected formation energy: 0.59 eV/f.u.